[1]
# InFeIr2 (GGA-PBEsol, relaxed)
data_InFeIr2
_cell_length_a 8.857
_cell_length_b 8.857
_cell_length_c 8.857
_cell_angle_alpha 18.10
_cell_angle_beta 18.10
_cell_angle_gamma 18.10
_space_group_name_H-M_alt 'P 1'
_space_group_IT_number 1
_space_group_name_Hall 'P 1'
loop_
_atom_site_label
_atom_site_type_symbol
_atom_site_fract_x
_atom_site_fract_y
_atom_site_fract_z
In1 In 0.000 0.000 0.000
Fe1 Fe 0.751 0.751 0.751
Ir1 Ir 0.244 0.244 0.244
Ir2 Ir 0.493 0.493 0.493
# DOS(E_F) = 3.21 states/eV per cell
# energy = -30.7 eV for the cell shown
# space group = R3m
# energy of formation from the pure elements = 0.231 eV/atom


[2]
# CrAsRu2 (GGA-PBEsol, relaxed)
data_CrAsRu2
_cell_length_a 4.461
_cell_length_b 4.461
_cell_length_c 4.576
_cell_angle_alpha 98.48
_cell_angle_beta 98.48
_cell_angle_gamma 36.43
_space_group_name_H-M_alt 'P 1'
_space_group_IT_number 1
_space_group_name_Hall 'P 1'
loop_
_atom_site_label
_atom_site_type_symbol
_atom_site_fract_x
_atom_site_fract_y
_atom_site_fract_z
Cr1 Cr 0.000 0.000 0.000
As1 As 0.500 0.500 0.500
Ru1 Ru 0.262 0.262 0.762
Ru2 Ru 0.738 0.738 0.238
# DOS(E_F) = 3.78 states/eV per cell
# energy = -35.4 eV for the cell shown
# space group = C2/m
# energy of formation from the pure elements = 0.085 eV/atom


[3]
# Na2GeTe (GGA-PBEsol, relaxed)
data_Na2GeTe
_cell_length_a 6.635
_cell_length_b 6.635
_cell_length_c 6.635
_cell_angle_alpha 101.48
_cell_angle_beta 101.48
_cell_angle_gamma 127.02
_space_group_name_H-M_alt 'P 1'
_space_group_IT_number 1
_space_group_name_Hall 'P 1'
loop_
_atom_site_label
_atom_site_type_symbol
_atom_site_fract_x
_atom_site_fract_y
_atom_site_fract_z
Na1 Na 0.122 0.125 0.497
Na2 Na 0.375 0.878 0.003
Na3 Na 0.628 0.625 0.503
Na4 Na 0.875 0.372 0.997
Ge1 Ge 0.000 0.000 0.000
Ge2 Ge 0.750 0.250 0.500
Te1 Te 0.250 0.750 0.500
Te2 Te 0.500 0.500 0.000
# DOS(E_F) = 3.58 states/eV per cell
# formation energy without anion corrections = -102 meV/atom
# energy = -23.3 eV for the cell shown
# space group = I-42d


[4]
# Rb3ScB (GGA-PBEsol, relaxed)
data_Rb3ScB
_cell_length_a 6.255
_cell_length_b 6.255
_cell_length_c 6.255
_cell_angle_alpha 90.00
_cell_angle_beta 90.00
_cell_angle_gamma 90.00
_space_group_name_H-M_alt 'P 1'
_space_group_IT_number 1
_space_group_name_Hall 'P 1'
loop_
_atom_site_label
_atom_site_type_symbol
_atom_site_fract_x
_atom_site_fract_y
_atom_site_fract_z
Rb1 Rb 0.000 0.000 0.500
Rb2 Rb 0.000 0.500 0.000
Rb3 Rb 0.500 0.000 0.000
Sc1 Sc 0.500 0.500 0.500
B1 B 0.000 0.000 0.000
# DOS(E_F) = 7.23 states/eV per cell
# energy = -10.0 eV for the cell shown
# space group = Pm-3m
# energy of formation from the pure elements = 1.346 eV/atom


[5]
# InSbBr2 (GGA-PBEsol, relaxed)
data_InSbBr2
_cell_length_a 10.626
_cell_length_b 10.626
_cell_length_c 10.626
_cell_angle_alpha 18.71
_cell_angle_beta 18.71
_cell_angle_gamma 18.71
_space_group_name_H-M_alt 'P 1'
_space_group_IT_number 1
_space_group_name_Hall 'P 1'
loop_
_atom_site_label
_atom_site_type_symbol
_atom_site_fract_x
_atom_site_fract_y
_atom_site_fract_z
In1 In 0.000 0.000 0.000
Sb1 Sb 0.500 0.500 0.500
Br1 Br 0.092 0.092 0.092
Br2 Br 0.908 0.908 0.908
# DOS(E_F) = 1.49 states/eV per cell
# formation energy without anion corrections = -147 meV/atom
# energy = -11.9 eV for the cell shown
# space group = R-3m


[6]
# YLuCu2 (GGA-PBEsol, relaxed)
data_YLuCu2
_cell_length_a 4.773
_cell_length_b 4.773
_cell_length_c 4.773
_cell_angle_alpha 60.00
_cell_angle_beta 60.00
_cell_angle_gamma 60.00
_space_group_name_H-M_alt 'P 1'
_space_group_IT_number 1
_space_group_name_Hall 'P 1'
loop_
_atom_site_label
_atom_site_type_symbol
_atom_site_fract_x
_atom_site_fract_y
_atom_site_fract_z
Y1 Y 0.000 0.000 0.000
Lu1 Lu 0.500 0.500 0.500
Cu1 Cu 0.250 0.250 0.250
Cu2 Cu 0.750 0.750 0.750
# DOS(E_F) = 2.18 states/eV per cell
# energy = -21.4 eV for the cell shown
# space group = Fm-3m
# energy of formation from the pure elements = -0.257 eV/atom


[7]
# Rb3MgBe (GGA-PBEsol, relaxed)
data_Rb3MgBe
_cell_length_a 7.026
_cell_length_b 7.026
_cell_length_c 7.026
_cell_angle_alpha 90.00
_cell_angle_beta 90.00
_cell_angle_gamma 90.00
_space_group_name_H-M_alt 'P 1'
_space_group_IT_number 1
_space_group_name_Hall 'P 1'
loop_
_atom_site_label
_atom_site_type_symbol
_atom_site_fract_x
_atom_site_fract_y
_atom_site_fract_z
Rb1 Rb 0.000 0.000 0.500
Rb2 Rb 0.000 0.500 0.000
Rb3 Rb 0.500 0.000 0.000
Mg1 Mg 0.000 0.000 0.000
Be1 Be 0.500 0.500 0.500
# DOS(E_F) = 4.97 states/eV per cell
# energy = -4.2 eV for the cell shown
# space group = Pm-3m
# energy of formation from the pure elements = 0.923 eV/atom


[8]
# Ca19In8N7 (GGA-PBEsol, relaxed)
data_Ca19In8N7
_cell_length_a 10.294
_cell_length_b 10.294
_cell_length_c 10.294
_cell_angle_alpha 60.00
_cell_angle_beta 60.00
_cell_angle_gamma 60.00
_space_group_name_H-M_alt 'P 1'
_space_group_IT_number 1
_space_group_name_Hall 'P 1'
loop_
_atom_site_label
_atom_site_type_symbol
_atom_site_fract_x
_atom_site_fract_y
_atom_site_fract_z
Ca1 Ca 0.000 0.000 0.000
Ca2 Ca 0.000 0.000 0.328
Ca3 Ca 0.000 0.000 0.672
Ca4 Ca 0.000 0.328 0.000
Ca5 Ca 0.000 0.328 0.672
Ca6 Ca 0.000 0.672 0.000
Ca7 Ca 0.000 0.672 0.328
Ca8 Ca 0.328 0.000 0.000
Ca9 Ca 0.328 0.000 0.672
Ca10 Ca 0.328 0.672 0.000
Ca11 Ca 0.334 0.334 0.666
Ca12 Ca 0.334 0.666 0.334
Ca13 Ca 0.334 0.666 0.666
Ca14 Ca 0.666 0.334 0.334
Ca15 Ca 0.666 0.334 0.666
Ca16 Ca 0.666 0.666 0.334
Ca17 Ca 0.672 0.000 0.000
Ca18 Ca 0.672 0.000 0.328
Ca19 Ca 0.672 0.328 0.000
In1 In 0.025 0.325 0.325
In2 In 0.325 0.025 0.325
In3 In 0.325 0.325 0.025
In4 In 0.325 0.325 0.325
In5 In 0.675 0.675 0.675
In6 In 0.675 0.675 0.975
In7 In 0.675 0.975 0.675
In8 In 0.975 0.675 0.675
N1 N 0.174 0.174 0.826
N2 N 0.174 0.826 0.174
N3 N 0.174 0.826 0.826
N4 N 0.500 0.500 0.500
N5 N 0.826 0.174 0.174
N6 N 0.826 0.174 0.826
N7 N 0.826 0.826 0.174
# DOS(E_F) = 5.59 states/eV per cell
# formation energy without anion corrections = -777 meV/atom
# energy = -150.5 eV for the cell shown
# space group = Fm-3m


[9]
# Mn5C2 (GGA-PBEsol, relaxed)
data_Mn5C2
_cell_length_a 6.109
_cell_length_b 6.109
_cell_length_c 4.872
_cell_angle_alpha 96.90
_cell_angle_beta 96.90
_cell_angle_gamma 42.44
_space_group_name_H-M_alt 'P 1'
_space_group_IT_number 1
_space_group_name_Hall 'P 1'
loop_
_atom_site_label
_atom_site_type_symbol
_atom_site_fract_x
_atom_site_fract_y
_atom_site_fract_z
Mn1 Mn 0.082 0.918 0.750
Mn2 Mn 0.121 0.313 0.303
Mn3 Mn 0.313 0.121 0.803
Mn4 Mn 0.314 0.491 0.079
Mn5 Mn 0.491 0.314 0.579
Mn6 Mn 0.509 0.686 0.421
Mn7 Mn 0.686 0.509 0.921
Mn8 Mn 0.687 0.879 0.197
Mn9 Mn 0.879 0.687 0.697
Mn10 Mn 0.918 0.082 0.250
C1 C 0.073 0.699 0.417
C2 C 0.301 0.927 0.083
C3 C 0.699 0.073 0.917
C4 C 0.927 0.301 0.583
# DOS(E_F) = 14.63 states/eV per cell
# energy = -138.1 eV for the cell shown
# space group = C2/c
# energy of formation from the pure elements = -0.133 eV/atom


[10]
# LiTaIr (GGA-PBEsol, relaxed)
data_LiTaIr
_cell_length_a 4.635
_cell_length_b 4.635
_cell_length_c 4.635
_cell_angle_alpha 144.65
_cell_angle_beta 130.56
_cell_angle_gamma 62.24
_space_group_name_H-M_alt 'P 1'
_space_group_IT_number 1
_space_group_name_Hall 'P 1'
loop_
_atom_site_label
_atom_site_type_symbol
_atom_site_fract_x
_atom_site_fract_y
_atom_site_fract_z
Li1 Li 0.000 0.000 0.000
Ta1 Ta 0.678 0.678 0.000
Ir1 Ir 0.343 0.343 0.000
# DOS(E_F) = 1.71 states/eV per cell
# energy = -24.9 eV for the cell shown
# space group = Imm2
# energy of formation from the pure elements = -0.187 eV/atom


[11]
# AgSe2N2 (GGA-PBEsol, relaxed)
data_AgSe2N2
_cell_length_a 5.107
_cell_length_b 5.107
_cell_length_c 3.890
_cell_angle_alpha 90.00
_cell_angle_beta 90.00
_cell_angle_gamma 90.00
_space_group_name_H-M_alt 'P 1'
_space_group_IT_number 1
_space_group_name_Hall 'P 1'
loop_
_atom_site_label
_atom_site_type_symbol
_atom_site_fract_x
_atom_site_fract_y
_atom_site_fract_z
Ag1 Ag 0.000 0.000 0.000
Se1 Se 0.000 0.500 0.000
Se2 Se 0.500 0.000 0.000
N1 N 0.000 0.000 0.500
N2 N 0.500 0.500 0.500
# DOS(E_F) = 4.92 states/eV per cell
# formation energy without anion corrections = 2262 meV/atom
# energy = -16.8 eV for the cell shown
# space group = P4/mmm


[12]
# TlB6H6 (GGA-PBEsol, relaxed)
data_TlB6H6
_cell_length_a 7.410
_cell_length_b 7.410
_cell_length_c 7.410
_cell_angle_alpha 60.00
_cell_angle_beta 60.00
_cell_angle_gamma 60.00
_space_group_name_H-M_alt 'P 1'
_space_group_IT_number 1
_space_group_name_Hall 'P 1'
loop_
_atom_site_label
_atom_site_type_symbol
_atom_site_fract_x
_atom_site_fract_y
_atom_site_fract_z
Tl1 Tl 0.250 0.250 0.250
Tl2 Tl 0.750 0.750 0.750
B1 B 0.053 0.221 0.779
B2 B 0.053 0.779 0.947
B3 B 0.053 0.947 0.221
B4 B 0.221 0.053 0.947
B5 B 0.221 0.779 0.053
B6 B 0.221 0.947 0.779
B7 B 0.779 0.053 0.221
B8 B 0.779 0.221 0.947
B9 B 0.779 0.947 0.053
B10 B 0.947 0.053 0.779
B11 B 0.947 0.221 0.053
B12 B 0.947 0.779 0.221
H1 H 0.093 0.380 0.620
H2 H 0.093 0.620 0.907
H3 H 0.093 0.907 0.380
H4 H 0.380 0.093 0.907
H5 H 0.380 0.620 0.093
H6 H 0.380 0.907 0.620
H7 H 0.620 0.093 0.380
H8 H 0.620 0.380 0.907
H9 H 0.620 0.907 0.093
H10 H 0.907 0.093 0.620
H11 H 0.907 0.380 0.093
H12 H 0.907 0.620 0.380
# DOS(E_F) = 0.00 states/eV per cell
# energy = -134.1 eV for the cell shown
# space group = Fm-3


Repeat the eighth record exactly.
# Ca19In8N7 (GGA-PBEsol, relaxed)
data_Ca19In8N7
_cell_length_a 10.294
_cell_length_b 10.294
_cell_length_c 10.294
_cell_angle_alpha 60.00
_cell_angle_beta 60.00
_cell_angle_gamma 60.00
_space_group_name_H-M_alt 'P 1'
_space_group_IT_number 1
_space_group_name_Hall 'P 1'
loop_
_atom_site_label
_atom_site_type_symbol
_atom_site_fract_x
_atom_site_fract_y
_atom_site_fract_z
Ca1 Ca 0.000 0.000 0.000
Ca2 Ca 0.000 0.000 0.328
Ca3 Ca 0.000 0.000 0.672
Ca4 Ca 0.000 0.328 0.000
Ca5 Ca 0.000 0.328 0.672
Ca6 Ca 0.000 0.672 0.000
Ca7 Ca 0.000 0.672 0.328
Ca8 Ca 0.328 0.000 0.000
Ca9 Ca 0.328 0.000 0.672
Ca10 Ca 0.328 0.672 0.000
Ca11 Ca 0.334 0.334 0.666
Ca12 Ca 0.334 0.666 0.334
Ca13 Ca 0.334 0.666 0.666
Ca14 Ca 0.666 0.334 0.334
Ca15 Ca 0.666 0.334 0.666
Ca16 Ca 0.666 0.666 0.334
Ca17 Ca 0.672 0.000 0.000
Ca18 Ca 0.672 0.000 0.328
Ca19 Ca 0.672 0.328 0.000
In1 In 0.025 0.325 0.325
In2 In 0.325 0.025 0.325
In3 In 0.325 0.325 0.025
In4 In 0.325 0.325 0.325
In5 In 0.675 0.675 0.675
In6 In 0.675 0.675 0.975
In7 In 0.675 0.975 0.675
In8 In 0.975 0.675 0.675
N1 N 0.174 0.174 0.826
N2 N 0.174 0.826 0.174
N3 N 0.174 0.826 0.826
N4 N 0.500 0.500 0.500
N5 N 0.826 0.174 0.174
N6 N 0.826 0.174 0.826
N7 N 0.826 0.826 0.174
# DOS(E_F) = 5.59 states/eV per cell
# formation energy without anion corrections = -777 meV/atom
# energy = -150.5 eV for the cell shown
# space group = Fm-3m


Question: Which formula does entry 9 have?
Answer: Mn5C2